[1]
# YCr

A geometry-optimized YCr structure (GGA-PBE, Alexandria via LeMat-Bulk).

Summary:
As for the electronic total energy: -44.94 eV for the cell shown. The symmetry is No. 8. The mass density is 5.01 g/cm3.

```
6
Lattice="-2.5043 -5.0980 1.4931 0.0814 -4.6190 3.6262 -5.0363 1.3135 5.8101" Properties=species:S:1:pos:R:3 pbc="T T T"
Cr -2.6965 -5.4597 4.4949
Cr -7.4309 -8.3141 10.8750
Cr -5.1778 -5.6680 7.5495
Y -5.4125 -1.3953 6.8744
Y -5.3628 -8.8591 8.4904
Y -2.5132 -2.5171 3.6118
```



[2]
# Y4Cr5

A geometry-optimized Y4Cr5 structure (GGA-PBE, Alexandria via LeMat-Bulk).

Summary:
The calculation puts the excess energy over the best structure of this formula in the dataset at 0.028 eV per atom. The symmetry is No. 193. The mass density is 5.03 g/cm3.

```
18
Lattice="-2.9066 8.0642 1.7614 -2.0171 2.2259 8.2194 5.7646 1.8800 0.9056" Properties=species:S:1:pos:R:3 pbc="T T T"
Y -1.1366 6.3753 4.3757
Y 2.4916 6.4922 1.7893
Y 0.1699 1.8728 5.4065
Y 1.9774 5.7947 6.5106
Y 2.8823 0.9400 0.4528
Y 0.0000 0.0000 0.0000
Y 3.5776 2.2330 3.7184
Y 0.3664 3.4519 0.8777
Cr 2.9236 2.9547 6.3831
Cr -0.5759 6.0662 1.4487
Cr -3.2825 6.8601 6.6538
Cr 1.6890 7.6874 4.4169
Cr 1.2410 4.3700 3.7797
Cr 0.8238 1.1512 2.7418
Cr 3.4339 3.8779 1.2182
Cr -0.8482 4.4826 6.4694
Cr -1.6412 3.4300 3.3269
Cr -0.4002 7.8000 7.1066
```



[3]
# YCr3

A geometry-optimized YCr3 structure (GGA-PBE, Alexandria via LeMat-Bulk).

Summary:
As for the electronic total energy: -33.54 eV for the cell shown. The symmetry is No. 123. The mass density is 6.23 g/cm3.

```
4
Lattice="3.1270 0.0000 0.0000 0.0000 3.1270 0.0000 0.0000 0.0000 6.6768" Properties=species:S:1:pos:R:3 pbc="T T T"
Cr 0.0000 0.0000 6.0851
Cr 1.5635 1.5635 5.0076
Cr 0.0000 0.0000 3.9300
Y 1.5635 1.5635 1.6692
```



[4]
# Y3Cr

A geometry-optimized Y3Cr structure (GGA-PBE, Alexandria via LeMat-Bulk).

Summary:
As for the electronic total energy: -27.62 eV for the cell shown. The symmetry is No. 187. The mass density is 4.65 g/cm3.

```
4
Lattice="-1.3416 -2.1860 2.4815 1.5877 -1.3500 -2.8971 9.0619 0.0498 4.9431" Properties=species:S:1:pos:R:3 pbc="T T T"
Cr 0.0000 0.0000 0.0000
Y 2.5601 -1.6180 -0.0411
Y 7.7243 -1.5896 2.7758
Y 4.5309 0.0249 2.4716
```



[5]
# YCr

A geometry-optimized YCr structure (GGA-PBE, Alexandria via LeMat-Bulk).

Summary:
As for the electronic total energy: -12.61 eV for the cell shown. The symmetry is No. 216. The mass density is 3.24 g/cm3.

```
2
Lattice="-2.5747 -1.5730 -3.5708 1.8849 -2.9068 -3.1387 -1.3276 -4.4805 -0.1291" Properties=species:S:1:pos:R:3 pbc="T T T"
Y -1.5131 -6.7203 -5.1290
Cr 0.0000 0.0000 0.0000
```



[6]
# Y4Cr5

A geometry-optimized Y4Cr5 structure (GGA-PBE, Alexandria via LeMat-Bulk).

Summary:
The calculation puts the excess energy over the best structure of this formula in the dataset at 0.000 eV per atom. The symmetry is No. 139. The mass density is 5.17 g/cm3.

```
9
Lattice="-4.6424 4.6424 2.2916 4.6424 -4.6424 2.2916 4.6424 4.6424 -2.2916" Properties=species:S:1:pos:R:3 pbc="T T T"
Y 0.0000 6.5401 0.0000
Y 0.0000 2.7446 0.0000
Y 2.7446 0.0000 0.0000
Y 6.5401 0.0000 0.0000
Cr 0.0000 0.0000 0.0000
Cr -1.4661 1.4661 2.2916
Cr 3.1762 3.1762 0.0000
Cr 1.4661 -1.4661 2.2916
Cr 1.4661 1.4661 2.2916
```



[7]
# YCr3

A geometry-optimized YCr3 structure (GGA-PBE, Alexandria via LeMat-Bulk).

Summary:
As for the electronic total energy: -33.05 eV for the cell shown. The symmetry is No. 123. The mass density is 5.86 g/cm3.

```
4
Lattice="-2.0988 -2.8563 2.9225 3.9999 -0.7618 2.1272 -0.6000 2.5180 2.0301" Properties=species:S:1:pos:R:3 pbc="T T T"
Cr 1.6999 0.8781 2.0786
Cr 0.0000 0.0000 0.0000
Cr -1.3494 -0.1692 2.4763
Y 0.9505 -1.8091 2.5248
```



[8]
# YCr2

A geometry-optimized YCr2 structure (GGA-PBE, Alexandria via LeMat-Bulk).

Summary:
As for the electronic total energy: -69.34 eV for the cell shown. The symmetry is No. 189. The mass density is 5.25 g/cm3.

```
9
Lattice="3.2870 5.2517 1.8535 -5.5405 -1.5551 2.9504 2.5628 -2.7846 3.3450" Properties=species:S:1:pos:R:3 pbc="T T T"
Cr 0.1695 0.4317 4.0429
Cr -1.0654 -0.2990 0.5674
Cr -1.5252 -2.1801 3.1671
Cr -1.8201 2.9858 3.8801
Cr 2.9465 1.2680 2.6114
Cr 0.6321 1.0099 0.3564
Y 1.2814 -1.3923 1.6725
Y 0.3445 2.9828 2.2191
Y -2.5980 0.7138 2.5848
```



Table of V (Å³/cell), in record order: 140.1, 406.6, 65.3, 113.9, 72.2, 197.6, 69.4, 182.9